Computed, not measured: a relaxed structure of MgCuGeN2 at the PBE level of DFT.

* uncorrected formation energy: 1.58 eV/atom
* energy: -3.815 eV per atom
* total moment: 0.00 μB per formula unit
* ρ: 4002 kg/m3

Cell: 3.8876 5.1754 3.8876 Å, 90.00 90.00 90.00°
Fractional coordinates of all 5 atoms:
1 Ge 0.0000 0.5000 0.0000
2 N 0.5000 0.0000 0.0000
3 N 0.0000 0.0000 0.5000
4 Cu 0.5000 0.5000 0.5000
5 Mg 0.0000 0.0000 0.0000